# LaZrPb2

LaZrPb2 at its PBEsol-relaxed geometry (SCAN, the Alexandria database).

Output
* symmetry: R3m (160)
* calculated volume: 27.775 Å³/atom
* DFT formation energy: 0.001 eV/atom
* raw total energy: -225.36 eV per cell

Unit cell a=3.423 b=3.423 c=11.125 alpha=81.15 beta=81.15 gamma=60.00
Positions (direct):
La  0.246  0.246  0.262
Pb  0.754  0.754  0.737
Pb  0.003  0.003  0.992
Zr  0.497  0.497  0.510